1:
A plane-wave DFT calculation with GGA-PBE was carried out for an optimized crystal structure of Ta2ZnPt.

Computed properties:
* space group: P2/m, No. 10
* DOS(E_F): 2.60 states/eV/f.u.
* theoretical density: 15798 kg/m³

abc: 4.0661 2.8326 6.3606
angles: 63.25 90.00 90.00
Closest atoms and distances in Å follow each position.
Fractional coordinates of all 4 atoms:
Pt: 0.5000 0.7500 0.7500  2 Pt 2.83, 2 Zn 2.84, 8 Ta 2.86
Ta: 0.0000 0.9982 0.0015  4 Ta 2.82-2.86, 4 Zn 2.85-2.86, 4 Pt 2.86
Ta: 0.0000 0.5018 0.4985  4 Ta 2.82-2.86, 4 Zn 2.85-2.86, 4 Pt 2.86
Zn: 0.5000 0.2500 0.2500  2 Zn 2.83, 2 Pt 2.84, 8 Ta 2.85-2.86

---

2:
A plane-wave DFT calculation with GGA-PBE was carried out for an optimized crystal structure of Ta2ZnPt.

Computed properties:
* space group: P4/mmm, No. 123
* DOS(E_F): 4.86 states/eV/f.u.
* theoretical density: 15475 kg/m³

abc: 3.4635 3.4635 5.5673
angles: 90.00 90.00 90.00
Closest atoms and distances in Å follow each position.
Fractional coordinates of all 4 atoms:
Ta: 0.0000 0.0000 0.9997  2 Ta 2.78-2.79, 4 Pt 2.82, 4 Zn 2.82
Ta: 0.0000 0.0000 0.5003  2 Ta 2.78-2.79, 4 Pt 2.82, 4 Zn 2.82
Zn: 0.5000 0.5000 0.2500  2 Pt 2.78, 8 Ta 2.82
Pt: 0.5000 0.5000 0.7500  2 Zn 2.78, 8 Ta 2.82

---

Of them, the most stable is 1 and the least stable is 2.

---

1:
A plane-wave DFT calculation with GGA-PBE was carried out for an optimized crystal structure of Ta2ZnPt.

Computed properties:
* space group: I4/mmm, No. 139
* DOS(E_F): 3.12 states/eV/f.u.
* theoretical density: 15746 kg/m³

abc: 4.9878 4.9878 4.9878
angles: 132.81 132.73 69.01
Closest atoms and distances in Å follow each position.
Fractional coordinates of all 4 atoms:
Ta: 0.5000 0.5000 0.0000  4 Ta 2.83, 4 Pt 2.87, 4 Zn 2.87
Pt: 0.2500 0.7500 0.5000  4 Zn 2.83, 8 Ta 2.87
Zn: 0.7500 0.2500 0.5000  4 Pt 2.83, 8 Ta 2.87
Ta: 0.0000 0.0000 0.0000  4 Ta 2.83, 4 Pt 2.87, 4 Zn 2.87

---

2:
A plane-wave DFT calculation with GGA-PBE was carried out for an optimized crystal structure of Ta2ZnPt.

Computed properties:
* space group: Cm, No. 8
* DOS(E_F): 2.30 states/eV/f.u.
* theoretical density: 15453 kg/m³

abc: 4.9233 4.9233 4.9779
angles: 77.85 77.85 34.63
Closest atoms and distances in Å follow each position.
Fractional coordinates of all 4 atoms:
Ta: 0.9971 0.9971 0.9999  3 Pt 2.78-2.96, 5 Ta 2.81-2.93, 4 Zn 2.89
Ta: 0.7455 0.7455 0.7453  3 Zn 2.81-2.87, 5 Ta 2.81-2.93, 4 Pt 2.83-2.95
Pt: 0.2532 0.2532 0.2569  7 Ta 2.78-2.96, 3 Zn 2.80-2.87, 2 Pt 2.93
Zn: 0.5042 0.5042 0.4978  3 Pt 2.80-2.87, 7 Ta 2.81-2.89, 2 Zn 2.93

---

Of them, the most stable is 1 and the least stable is 2.

---

1:
A plane-wave DFT calculation with GGA-PBE was carried out for an optimized crystal structure of Ta2ZnPt.

Computed properties:
* space group: C2/m, No. 12
* DOS(E_F): 2.30 states/eV/f.u.
* theoretical density: 15777 kg/m³

abc: 6.3670 4.9831 2.8117
angles: 90.15 63.53 120.87
Closest atoms and distances in Å follow each position.
Fractional coordinates of all 4 atoms:
Pt: 0.5000 0.5000 0.0000  2 Pt 2.81, 2 Zn 2.85, 8 Ta 2.86
Ta: 0.5000 0.0000 0.5000  4 Ta 2.81-2.85, 4 Zn 2.86, 4 Pt 2.86
Zn: 0.0000 0.5000 0.5000  2 Zn 2.81, 2 Pt 2.85, 8 Ta 2.86
Ta: 0.0000 0.0000 0.0000  4 Ta 2.81-2.85, 4 Pt 2.86, 4 Zn 2.86

---

2:
A plane-wave DFT calculation with GGA-PBE was carried out for an optimized crystal structure of Ta2ZnPt.

Computed properties:
* space group: I-4m2, No. 119
* DOS(E_F): 4.03 states/eV/f.u.
* theoretical density: 15587 kg/m³

abc: 5.1746 5.1746 5.1746
angles: 135.85 135.85 64.21
Closest atoms and distances in Å follow each position.
Fractional coordinates of all 4 atoms:
Ta: 0.0000 0.0000 0.0000  4 Zn 2.75, 4 Ta 2.93, 4 Pt 2.93
Pt: 0.7500 0.2500 0.5000  8 Ta 2.75-2.93, 4 Zn 2.93
Zn: 0.5000 0.5000 0.0000  8 Ta 2.75-2.93, 4 Pt 2.93
Ta: 0.2500 0.7500 0.5000  4 Pt 2.75, 4 Zn 2.93, 4 Ta 2.93

---

3:
A plane-wave DFT calculation with GGA-PBE was carried out for an optimized crystal structure of Ta2ZnPt.

Computed properties:
* space group: Pm, No. 6
* DOS(E_F): 3.10 states/eV/f.u.
* theoretical density: 15775 kg/m³

abc: 4.5831 2.7990 5.1264
angles: 85.04 90.00 90.00
Closest atoms and distances in Å follow each position.
Fractional coordinates of all 4 atoms:
Ta: 0.0000 0.0334 0.9679  3 Zn 2.71-2.93, 4 Pt 2.79-2.95, 4 Ta 2.80-2.90
Pt: 0.5000 0.6256 0.7719  2 Zn 2.77, 7 Ta 2.79-2.95, 2 Pt 2.80
Ta: 0.5000 0.2104 0.2918  4 Zn 2.76-2.91, 4 Ta 2.80-2.90, 3 Pt 2.81-2.84
Zn: 0.0000 0.6306 0.4683  7 Ta 2.71-2.93, 2 Pt 2.77, 2 Zn 2.80

---

Of them, the most stable is 1 and the least stable is 2.

---

1:
A plane-wave DFT calculation with GGA-PBE was carried out for an optimized crystal structure of ZrTa3Pt.

Computed properties:
* space group: Pm-3m, No. 221
* DOS(E_F): 5.91 states/eV/f.u.
* theoretical density: 12402 kg/m³

abc: 4.8061 4.8061 4.8061
angles: 90.00 90.00 90.00
Closest atoms and distances in Å follow each position.
Fractional coordinates of all 5 atoms:
Ta: 0.0000 0.5000 0.0000  2 Zr 2.40
Pt: 0.5000 0.5000 0.5000  12 Ta 3.40
Ta: 0.0000 0.0000 0.5000  2 Zr 2.40
Zr: 0.0000 0.0000 0.0000  6 Ta 2.40
Ta: 0.5000 0.0000 0.0000  2 Zr 2.40

---

2:
A plane-wave DFT calculation with GGA-PBE was carried out for an optimized crystal structure of ZrTa3Pt.

Computed properties:
* space group: Pm-3m, No. 221
* DOS(E_F): 8.58 states/eV/f.u.
* theoretical density: 11750 kg/m³

abc: 4.8935 4.8935 4.8935
angles: 90.00 90.00 90.00
Closest atoms and distances in Å follow each position.
Fractional coordinates of all 5 atoms:
Pt: 0.0000 0.0000 0.0000  6 Ta 2.45
Ta: 0.5000 0.0000 0.0000  2 Pt 2.45
Ta: 0.0000 0.0000 0.5000  2 Pt 2.45
Zr: 0.5000 0.5000 0.5000  12 Ta 3.46
Ta: 0.0000 0.5000 0.0000  2 Pt 2.45

---

Of them, the most stable is 2 and the least stable is 1.